Entry 1:
Here is a relaxed Zr2Ag crystal from OQMD via LeMat-Bulk. Energies are from PBE-GGA.

Geometry as POSCAR:
```
Zr2Ag
1.0
5.253 0.000 0.000
-2.626 4.549 0.000
0.000 0.000 5.243
Zr Ag
4 2
direct
0.000 0.000 0.000
0.000 0.340 0.500
0.340 0.000 0.500
0.660 0.660 0.500
0.333 0.667 0.000
0.667 0.333 0.000
```

Summary:
- Total magnetization: 0.0 Bohr magnetons per cell
- Crystal system: hexagonal
- Space-group type: P-62m (189)
- Energy of formation: 0.2 eV/f.u.

Entry 2:
Here is a relaxed NaCo crystal from OQMD via LeMat-Bulk. Energies are from PBE-GGA.

Geometry as POSCAR:
```
NaCo
1.0
5.580 0.000 0.000
0.000 5.580 0.000
0.000 0.000 5.580
Na Co
4 4
direct
0.000 0.000 0.000
0.000 0.500 0.500
0.500 0.000 0.500
0.500 0.500 0.000
0.000 0.000 0.500
0.000 0.500 0.000
0.500 0.000 0.000
0.500 0.500 0.500
```

Summary:
- Total magnetization: 7.6 Bohr magnetons per cell
- E_tot: -21.78 eV for the cell shown
- Crystal system: cubic
- Space-group type: Fm-3m (225)

Entry 3:
Here is a relaxed PuUB crystal from OQMD via LeMat-Bulk. Energies are from PBE-GGA.

Geometry as POSCAR:
```
PuUB
1.0
5.916 0.000 0.000
0.000 5.916 0.000
0.000 0.000 5.916
Pu U B
4 4 4
direct
0.000 0.000 0.000
0.000 0.500 0.500
0.500 0.000 0.500
0.500 0.500 0.000
0.000 0.000 0.500
0.000 0.500 0.000
0.500 0.000 0.000
0.500 0.500 0.500
0.250 0.250 0.250
0.250 0.750 0.750
0.750 0.250 0.750
0.750 0.750 0.250
```

Summary:
- Offset from the most stable computed form: 0.0000 eV/atom
- Total magnetization: 19.0 Bohr magnetons per cell
- Crystal system: cubic
- Space-group type: F-43m (216)

Entry 4:
Here is a relaxed HfTlCuOs crystal from OQMD via LeMat-Bulk. Energies are from PBE-GGA.

Geometry as POSCAR:
```
HfTlCuOs
1.0
6.538 0.000 0.000
0.000 6.538 0.000
0.000 0.000 6.538
Hf Tl Cu Os
4 4 4 4
direct
0.000 0.000 0.000
0.000 0.500 0.500
0.500 0.000 0.500
0.500 0.500 0.000
0.000 0.000 0.500
0.000 0.500 0.000
0.500 0.000 0.000
0.500 0.500 0.500
0.250 0.250 0.750
0.250 0.750 0.250
0.750 0.250 0.250
0.750 0.750 0.750
0.250 0.250 0.250
0.250 0.750 0.750
0.750 0.250 0.750
0.750 0.750 0.250
```

Summary:
- Offset from the most stable computed form: 0.0000 eV/atom
- Total magnetization: 0.0 Bohr magnetons per cell
- Crystal system: cubic
- Space-group type: F-43m (216)

Entry 5:
Here is a relaxed Tm2FeOs3 crystal from OQMD via LeMat-Bulk. Energies are from PBE-GGA.

Geometry as POSCAR:
```
Tm2FeOs3
1.0
5.284 0.000 0.000
-2.642 4.576 0.000
0.000 0.000 8.534
Tm Fe Os
4 2 6
direct
0.333 0.667 0.067
0.333 0.667 0.433
0.667 0.333 0.567
0.667 0.333 0.933
0.000 0.000 0.000
0.000 0.000 0.500
0.170 0.339 0.750
0.170 0.830 0.750
0.339 0.170 0.250
0.661 0.830 0.750
0.830 0.170 0.250
0.830 0.661 0.250
```

Summary:
- Total magnetization: 3.9 Bohr magnetons per cell
- Crystal system: hexagonal
- Space-group type: P6_3/mmc (194)
- Energy of formation: -2.0 eV/f.u.

Entry 6:
Here is a relaxed HfCuAgGe crystal from OQMD via LeMat-Bulk. Energies are from PBE-GGA.

Geometry as POSCAR:
```
HfCuAgGe
1.0
6.478 0.000 0.000
0.000 6.478 0.000
0.000 0.000 6.478
Hf Cu Ag Ge
4 4 4 4
direct
0.000 0.000 0.000
0.000 0.500 0.500
0.500 0.000 0.500
0.500 0.500 0.000
0.250 0.250 0.750
0.250 0.750 0.250
0.750 0.250 0.250
0.750 0.750 0.750
0.250 0.250 0.250
0.250 0.750 0.750
0.750 0.250 0.750
0.750 0.750 0.250
0.000 0.000 0.500
0.000 0.500 0.000
0.500 0.000 0.000
0.500 0.500 0.500
```

Summary:
- Offset from the most stable computed form: 0.1255 eV/atom
- Total magnetization: 0.0 Bohr magnetons per cell
- Crystal system: cubic
- Space-group type: F-43m (216)